{"formula": "LiMgRh2", "functional": "PBE-GGA", "state": "relaxed", "final_energy_ev_per_cell": -18.77, "total_magnetization_mub_per_cell": 0.910, "vol_a3_per_atom": 14.6, "lattice_angstrom": [[3.0518, 0.0000, 0.0000], [0.0000, 3.0518, 0.0000], [0.0000, 0.0000, 6.2666]], "species": ["Rh", "Rh", "Mg", "Li"], "frac_coords": [[0.0000, 0.0000, 0.0089], [0.5000, 0.5000, 0.2629], [0.5000, 0.5000, 0.7505], [0.0000, 0.0000, 0.4778]]}